i) The following is a meta-GGA SCAN calculation of a PBEsol-optimized structure of SrTa2Cu, from Alexandria.

Computed properties:
- Total magnetization: 0.001 μB per formula unit

```
data_SrTa2Cu
_chemical_formula_sum 'Sr1 Ta2 Cu1'
_cell_length_a 3.959
_cell_length_b 3.959
_cell_length_c 5.155
_cell_angle_alpha 90.00
_cell_angle_beta 90.00
_cell_angle_gamma 90.00
_space_group_name_H-M_alt 'P 4/m m m'
_space_group_IT_number 123
_space_group_name_Hall '-P 4 2'
loop_
_atom_site_label
_atom_site_type_symbol
_atom_site_fract_x
_atom_site_fract_y
_atom_site_fract_z
Sr1 Sr 0.000 0.000 0.000
Ta1 Ta 0.000 0.500 0.500
Cu1 Cu 0.500 0.500 0.000
```

ii) The following is a meta-GGA SCAN calculation of a PBEsol-optimized structure of SrTa2Cu, from Alexandria.

Computed properties:
- Total magnetization: 0.000 μB per formula unit

```
data_SrTa2Cu
_chemical_formula_sum 'Sr1 Ta2 Cu1'
_cell_length_a 3.027
_cell_length_b 3.583
_cell_length_c 7.706
_cell_angle_alpha 90.00
_cell_angle_beta 90.00
_cell_angle_gamma 90.00
_space_group_name_H-M_alt 'P m m 2'
_space_group_IT_number 25
_space_group_name_Hall 'P 2 -2'
loop_
_atom_site_label
_atom_site_type_symbol
_atom_site_fract_x
_atom_site_fract_y
_atom_site_fract_z
Sr1 Sr 0.000 0.000 0.000
Ta1 Ta 0.000 0.000 0.542
Ta2 Ta 0.500 0.500 0.345
Cu1 Cu 0.500 0.500 0.712
```

iii) The following is a meta-GGA SCAN calculation of a PBEsol-optimized structure of SrTa2Cu, from Alexandria.

Computed properties:
- Total magnetization: 0.000 μB per formula unit

```
data_SrTa2Cu
_chemical_formula_sum 'Sr4 Ta8 Cu4'
_cell_length_a 6.739
_cell_length_b 6.739
_cell_length_c 6.739
_cell_angle_alpha 90.00
_cell_angle_beta 90.00
_cell_angle_gamma 90.00
_space_group_name_H-M_alt 'F -4 3 m'
_space_group_IT_number 216
_space_group_name_Hall 'F -4 2 3'
loop_
_atom_site_label
_atom_site_type_symbol
_atom_site_fract_x
_atom_site_fract_y
_atom_site_fract_z
Sr1 Sr 0.000 0.000 0.000
Ta1 Ta 0.000 0.000 0.500
Ta2 Ta 0.250 0.250 0.250
Cu1 Cu 0.250 0.250 0.750
```

Least stable structure: i)

i) The following is a meta-GGA SCAN calculation of a PBEsol-optimized structure of Sr2TaCu, from Alexandria.

Computed properties:
- Total magnetization: 0.261 μB per formula unit

```
data_Sr2TaCu
_chemical_formula_sum 'Sr2 Ta1 Cu1'
_cell_length_a 3.380
_cell_length_b 3.380
_cell_length_c 9.367
_cell_angle_alpha 90.00
_cell_angle_beta 90.00
_cell_angle_gamma 90.00
_space_group_name_H-M_alt 'P 4 m m'
_space_group_IT_number 99
_space_group_name_Hall 'P 4 -2'
loop_
_atom_site_label
_atom_site_type_symbol
_atom_site_fract_x
_atom_site_fract_y
_atom_site_fract_z
Sr1 Sr 0.000 0.000 0.000
Sr2 Sr 0.500 0.500 0.386
Ta1 Ta 0.000 0.000 0.647
Cu1 Cu 0.500 0.500 0.763
```

ii) The following is a meta-GGA SCAN calculation of a PBEsol-optimized structure of Sr2TaCu, from Alexandria.

Computed properties:
- Total magnetization: 0.000 μB per formula unit

```
data_Sr2TaCu
_chemical_formula_sum 'Sr6 Ta3 Cu3'
_cell_length_a 3.3692
_cell_length_b 3.3692
_cell_length_c 30.3229
_cell_angle_alpha 90.00
_cell_angle_beta 90.00
_cell_angle_gamma 120.00
_space_group_name_H-M_alt 'R -3 m'
_space_group_IT_number 166
_space_group_name_Hall '-R 3 2"'
loop_
_atom_site_label
_atom_site_type_symbol
_atom_site_fract_x
_atom_site_fract_y
_atom_site_fract_z
Sr1 Sr 0.0000 0.0000 0.2446
Ta1 Ta 0.0000 0.0000 0.0000
Cu1 Cu 0.0000 0.0000 0.5000
```

Least stable structure: ii)

i) The following is a meta-GGA SCAN calculation of a PBEsol-optimized structure of SrCuW, from Alexandria.

Computed properties:
- Total magnetization: 4.150 μB per formula unit

```
data_SrCuW
_chemical_formula_sum 'Sr4 Cu4 W4'
_cell_length_a 6.818
_cell_length_b 6.818
_cell_length_c 6.818
_cell_angle_alpha 90.00
_cell_angle_beta 90.00
_cell_angle_gamma 90.00
_space_group_name_H-M_alt 'F -4 3 m'
_space_group_IT_number 216
_space_group_name_Hall 'F -4 2 3'
loop_
_atom_site_label
_atom_site_type_symbol
_atom_site_fract_x
_atom_site_fract_y
_atom_site_fract_z
Sr1 Sr 0.000 0.000 0.000
Cu1 Cu 0.250 0.250 0.250
W1 W 0.250 0.250 0.750
```

ii) The following is a meta-GGA SCAN calculation of a PBEsol-optimized structure of SrCuW, from Alexandria.

Computed properties:
- Total magnetization: 1.731 μB per formula unit

```
data_SrCuW
_chemical_formula_sum 'Sr4 Cu4 W4'
_cell_length_a 6.425
_cell_length_b 6.425
_cell_length_c 6.425
_cell_angle_alpha 90.00
_cell_angle_beta 90.00
_cell_angle_gamma 90.00
_space_group_name_H-M_alt 'F -4 3 m'
_space_group_IT_number 216
_space_group_name_Hall 'F -4 2 3'
loop_
_atom_site_label
_atom_site_type_symbol
_atom_site_fract_x
_atom_site_fract_y
_atom_site_fract_z
Sr1 Sr 0.000 0.000 0.000
Cu1 Cu 0.000 0.000 0.500
W1 W 0.250 0.250 0.750
```

Least stable structure: i)

i) The following is a meta-GGA SCAN calculation of a PBEsol-optimized structure of Sr2CuW, from Alexandria.

Computed properties:
- Total magnetization: 0.000 μB per formula unit

```
data_Sr2CuW
_chemical_formula_sum 'Sr6 Cu3 W3'
_cell_length_a 3.2513
_cell_length_b 3.2513
_cell_length_c 30.1067
_cell_angle_alpha 90.00
_cell_angle_beta 90.00
_cell_angle_gamma 120.00
_space_group_name_H-M_alt 'R -3 m'
_space_group_IT_number 166
_space_group_name_Hall '-R 3 2"'
loop_
_atom_site_label
_atom_site_type_symbol
_atom_site_fract_x
_atom_site_fract_y
_atom_site_fract_z
Sr1 Sr 0.0000 0.0000 0.2470
Cu1 Cu 0.0000 0.0000 0.5000
W1 W 0.0000 0.0000 0.0000
```

ii) The following is a meta-GGA SCAN calculation of a PBEsol-optimized structure of Sr2CuW, from Alexandria.

Computed properties:
- Total magnetization: 0.000 μB per formula unit

```
data_Sr2CuW
_chemical_formula_sum 'Sr4 Cu2 W2'
_cell_length_a 7.951
_cell_length_b 7.976
_cell_length_c 3.017
_cell_angle_alpha 90.00
_cell_angle_beta 90.00
_cell_angle_gamma 90.00
_space_group_name_H-M_alt 'C m m m'
_space_group_IT_number 65
_space_group_name_Hall '-C 2 2'
loop_
_atom_site_label
_atom_site_type_symbol
_atom_site_fract_x
_atom_site_fract_y
_atom_site_fract_z
Sr1 Sr 0.250 0.250 0.000
Cu1 Cu 0.000 0.000 0.500
W1 W 0.000 0.500 0.500
```

Least stable structure: i)

i) The following is a meta-GGA SCAN calculation of a PBEsol-optimized structure of SrYCu2, from Alexandria.

Computed properties:
- Total magnetization: 0.000 μB per formula unit

```
data_SrYCu2
_chemical_formula_sum 'Sr4 Y4 Cu8'
_cell_length_a 7.065
_cell_length_b 7.065
_cell_length_c 7.065
_cell_angle_alpha 90.00
_cell_angle_beta 90.00
_cell_angle_gamma 90.00
_space_group_name_H-M_alt 'F m -3 m'
_space_group_IT_number 225
_space_group_name_Hall '-F 4 2 3'
loop_
_atom_site_label
_atom_site_type_symbol
_atom_site_fract_x
_atom_site_fract_y
_atom_site_fract_z
Sr1 Sr 0.000 0.000 0.000
Y1 Y 0.000 0.000 0.500
Cu1 Cu 0.250 0.250 0.250
```

ii) The following is a meta-GGA SCAN calculation of a PBEsol-optimized structure of SrYCu2, from Alexandria.

Computed properties:
- Total magnetization: 0.000 μB per formula unit

```
data_SrYCu2
_chemical_formula_sum 'Sr1 Y1 Cu2'
_cell_length_a 3.559
_cell_length_b 3.557
_cell_length_c 7.128
_cell_angle_alpha 90.00
_cell_angle_beta 90.06
_cell_angle_gamma 90.00
_space_group_name_H-M_alt 'P 1 2/m 1'
_space_group_IT_number 10
_space_group_name_Hall '-P 2y'
loop_
_atom_site_label
_atom_site_type_symbol
_atom_site_fract_x
_atom_site_fract_y
_atom_site_fract_z
Sr1 Sr 0.000 0.000 0.000
Y1 Y 0.000 0.000 0.500
Cu1 Cu 0.500 0.500 0.303
```

Least stable structure: i)

i) The following is a meta-GGA SCAN calculation of a PBEsol-optimized structure of SrZr2Cu, from Alexandria.

Computed properties:
- Total magnetization: 0.000 μB per formula unit

```
data_SrZr2Cu
_chemical_formula_sum 'Sr4 Zr8 Cu4'
_cell_length_a 6.985
_cell_length_b 6.985
_cell_length_c 6.985
_cell_angle_alpha 90.00
_cell_angle_beta 90.00
_cell_angle_gamma 90.00
_space_group_name_H-M_alt 'F m -3 m'
_space_group_IT_number 225
_space_group_name_Hall '-F 4 2 3'
loop_
_atom_site_label
_atom_site_type_symbol
_atom_site_fract_x
_atom_site_fract_y
_atom_site_fract_z
Sr1 Sr 0.000 0.000 0.000
Zr1 Zr 0.250 0.250 0.250
Cu1 Cu 0.000 0.000 0.500
```

ii) The following is a meta-GGA SCAN calculation of a PBEsol-optimized structure of SrZr2Cu, from Alexandria.

Computed properties:
- Total magnetization: 1.385 μB per formula unit

```
data_SrZr2Cu
_chemical_formula_sum 'Sr2 Zr4 Cu2'
_cell_length_a 4.489
_cell_length_b 4.489
_cell_length_c 8.803
_cell_angle_alpha 90.00
_cell_angle_beta 90.00
_cell_angle_gamma 90.00
_space_group_name_H-M_alt 'I -4 m 2'
_space_group_IT_number 119
_space_group_name_Hall 'I -4 -2'
loop_
_atom_site_label
_atom_site_type_symbol
_atom_site_fract_x
_atom_site_fract_y
_atom_site_fract_z
Sr1 Sr 0.000 0.000 0.000
Zr1 Zr 0.000 0.000 0.500
Zr2 Zr 0.000 0.500 0.250
Cu1 Cu 0.000 0.500 0.750
```

Least stable structure: i)